Record 1
NaSrS2Cl: optimized geometry, PBE.

Cell: 5.7387 5.7387 5.6582 Å, 90.00 90.00 90.00°
Each line ends with the local moment (μB).
Element x y z (fractional)
S1 0.0000 0.5000 0.0000  0.56
Cl1 0.0000 0.0000 0.5000  0.06
Sr1 0.0000 0.0000 0.0000  0.00
Na1 0.5000 0.5000 0.5000  0.00
S2 0.5000 0.0000 0.0000  0.56

Space group = P4/mmm (123)
Crystal system = tetragonal
Energy = -3.395 eV per atom

***

Record 2
NaSrS2Cl: optimized geometry, PBE.

Cell: 4.9009 4.9009 5.3033 Å, 90.00 90.00 90.00°
Element x y z (fractional)
S1 0.5000 0.0000 0.0000
Na1 0.0000 0.0000 0.0000
S2 0.0000 0.5000 0.0000
Cl1 0.0000 0.0000 0.5000
Sr1 0.5000 0.5000 0.5000

Space group = P4/mmm (123)
Crystal system = tetragonal
Energy = -3.418 eV per atom

***

Record 3
NaTcS2Cl: optimized geometry, PBE.

Cell: 4.5621 4.5621 5.3167 Å, 90.00 90.00 90.00°
Element x y z (fractional)
Tc1 0.0000 0.0000 0.0000
Cl1 0.0000 0.0000 0.5000
S1 0.0000 0.5000 0.0000
Na1 0.5000 0.5000 0.5000
S2 0.5000 0.0000 0.0000

Space group = P4/mmm (123)
Crystal system = tetragonal
Energy = -4.837 eV per atom

***

Record 4
NaTcS2Cl: optimized geometry, PBE.

Cell: 4.9684 4.9684 4.8080 Å, 90.00 90.00 90.00°
Each line ends with the local moment (μB).
Element x y z (fractional)
S1 0.0000 0.5000 0.0000  -0.47
Na1 0.0000 0.0000 0.0000  -0.01
S2 0.5000 0.0000 0.0000  -0.47
Tc1 0.5000 0.5000 0.5000  4.01
Cl1 0.0000 0.0000 0.5000  -0.07

Space group = P4/mmm (123)
Crystal system = tetragonal
Energy = -3.418 eV per atom

***

Record 5
NaTcS2Cl: optimized geometry, PBE.

Cell: 5.2424 4.4499 5.2424 Å, 90.00 90.00 90.00°
Each line ends with the local moment (μB).
Element x y z (fractional)
Cl1 0.0000 0.0000 0.0000  0.06
Na1 0.5000 0.5000 0.5000  0.00
Tc1 0.0000 0.5000 0.0000  2.88
S1 0.5000 0.0000 0.0000  0.14
S2 0.0000 0.0000 0.5000  0.06

Space group = P4/mmm (123)
Crystal system = tetragonal
Energy = -3.497 eV per atom

***

Record 6
NaTiSCl2: optimized geometry, PBE.

Cell: 4.9592 4.9592 4.7199 Å, 90.00 90.00 90.00°
Each line ends with the local moment (μB).
Element x y z (fractional)
Ti1 0.0000 0.0000 0.0000  0.86
Na1 0.5000 0.5000 0.5000  0.00
S1 0.0000 0.0000 0.5000  -0.05
Cl1 0.5000 0.0000 0.0000  0.00
Cl2 0.0000 0.5000 0.0000  0.00

Space group = P4/mmm (123)
Crystal system = tetragonal
Energy = -4.732 eV per atom

***

| no. | uncorrected formation energy (eV per formula unit) | E above lowest polymorph (meV per atom) |
| --- | --- | --- |
| 1 | -3.87 | 23 |
| 2 | -3.99 | 0 |
| 3 | -2.40 | 0 |
| 4 | 4.70 | 1419 |
| 5 | 4.30 | 1340 |
| 6 | -6.62 | 0 |